Entry 1:
RbAcGe2Cl8 after structural relaxation. Source: Alexandria, functional GGA-PBE.

Cell and atoms, written as CIF:
```
data_RbAcGe2Cl8
_cell_length_a 6.480
_cell_length_b 7.001
_cell_length_c 9.638
_cell_angle_alpha 86.72
_cell_angle_beta 88.13
_cell_angle_gamma 85.71
_space_group_name_H-M_alt 'P -1'
_space_group_IT_number 2
loop_
_space_group_symop_operation_xyz
'x,y,z'
'-x,-y,-z'
loop_
_atom_site_label
_atom_site_type_symbol
_atom_site_fract_x
_atom_site_fract_y
_atom_site_fract_z
Rb1 Rb 0.000 0.000 0.000
Ac1 Ac 0.000 0.000 0.500
Ge1 Ge 0.462 0.463 0.265
Cl1 Cl 0.222 0.804 0.282
Cl2 Cl 0.258 0.331 0.461
Cl3 Cl 0.272 0.856 0.720
Cl4 Cl 0.274 0.363 0.088
```

Computed properties:
Total energy, eV/atom: -3.94
DOS(E_F), states/eV/cell: 0.0
Density, Mg/m³: 2.83



Entry 2:
Ac4GeRhCl2 after structural relaxation. Source: Alexandria, functional GGA-PBE.

Cell and atoms, written as CIF:
```
data_Ac4GeRhCl2
_cell_length_a 7.813
_cell_length_b 4.393
_cell_length_c 7.982
_cell_angle_alpha 90.00
_cell_angle_beta 107.26
_cell_angle_gamma 90.00
_space_group_name_H-M_alt 'P 1 2/m 1'
_space_group_IT_number 10
loop_
_space_group_symop_operation_xyz
'x,y,z'
'-x,-y,-z'
'-x,y,-z'
'x,-y,z'
loop_
_atom_site_label
_atom_site_type_symbol
_atom_site_fract_x
_atom_site_fract_y
_atom_site_fract_z
Ac1 Ac 0.214 0.000 0.224
Ac2 Ac 0.219 0.500 0.753
Ge1 Ge 0.000 0.000 0.500
Rh1 Rh 0.000 0.500 0.000
Cl1 Cl 0.500 0.000 0.000
Cl2 Cl 0.500 0.500 0.500
```

Computed properties:
Total energy, eV/atom: -5.20
DOS(E_F), states/eV/cell: 6.0
Density, Mg/m³: 7.33



Entry 3:
Ac6GeRu2Cl3 after structural relaxation. Source: Alexandria, functional GGA-PBE.

Cell and atoms, written as CIF:
```
data_Ac6GeRu2Cl3
_cell_length_a 7.643
_cell_length_b 13.249
_cell_length_c 8.225
_cell_angle_alpha 90.00
_cell_angle_beta 108.06
_cell_angle_gamma 90.00
_space_group_name_H-M_alt 'C 1 2/m 1'
_space_group_IT_number 12
loop_
_space_group_symop_operation_xyz
'x,y,z'
'-x,-y,-z'
'-x,y,-z'
'x,-y,z'
'x+1/2,y+1/2,z'
'-x+1/2,-y+1/2,-z'
'-x+1/2,y+1/2,-z'
'x+1/2,-y+1/2,z'
loop_
_atom_site_label
_atom_site_type_symbol
_atom_site_fract_x
_atom_site_fract_y
_atom_site_fract_z
Ac1 Ac 0.214 0.000 0.208
Ac2 Ac 0.246 0.323 0.207
Ge1 Ge 0.000 0.500 0.000
Ru1 Ru 0.000 0.167 0.000
Cl1 Cl 0.000 0.000 0.500
Cl2 Cl 0.000 0.334 0.500
```

Computed properties:
Total energy, eV/atom: -5.47
DOS(E_F), states/eV/cell: 13.7
Density, Mg/m³: 7.31



Entry 4:
Ac4GeRuCl2 after structural relaxation. Source: Alexandria, functional GGA-PBE.

Cell and atoms, written as CIF:
```
data_Ac4GeRuCl2
_cell_length_a 7.880
_cell_length_b 4.385
_cell_length_c 8.030
_cell_angle_alpha 90.00
_cell_angle_beta 107.00
_cell_angle_gamma 90.00
_space_group_name_H-M_alt 'P 1 2/m 1'
_space_group_IT_number 10
loop_
_space_group_symop_operation_xyz
'x,y,z'
'-x,-y,-z'
'-x,y,-z'
'x,-y,z'
loop_
_atom_site_label
_atom_site_type_symbol
_atom_site_fract_x
_atom_site_fract_y
_atom_site_fract_z
Ac1 Ac 0.223 0.000 0.210
Ac2 Ac 0.241 0.500 0.792
Ge1 Ge 0.500 0.000 0.000
Ru1 Ru 0.000 0.500 0.000
Cl1 Cl 0.000 0.000 0.500
Cl2 Cl 0.500 0.500 0.500
```

Computed properties:
Total energy, eV/atom: -5.33
DOS(E_F), states/eV/cell: 4.5
Density, Mg/m³: 7.21